DFT (PBE) results for Dy2Tm4N after structural relaxation.

Properties
Electronic total energy: -5.35 eV/atom

Geometry as CIF:
```
data_Dy2Tm4N
_chemical_formula_sum 'Dy4 Tm8 N2'
_cell_length_a 4.694
_cell_length_b 4.694
_cell_length_c 17.501
_cell_angle_alpha 90.00
_cell_angle_beta 90.00
_cell_angle_gamma 90.00
_space_group_name_H-M_alt 'I 4/m m m'
_space_group_IT_number 139
_space_group_name_Hall '-I 4 2'
loop_
_atom_site_label
_atom_site_type_symbol
_atom_site_fract_x
_atom_site_fract_y
_atom_site_fract_z
_atom_site_occupancy
Dy1 Dy 0.000 0.000 0.171 1
Tm1 Tm 0.000 0.000 0.368 1
Tm2 Tm 0.000 0.500 0.000 1
N1 N 0.000 0.000 0.500 1
```